#a
Entry from the Alexandria database: an optimized crystal structure of GeSbC (PBE).

Results
spin magnetization: 0.00 μB per cell
volume: 128 Å³ per cell

Structure (POSCAR):
```
GeSbC
1.0
-0.617 -2.405 4.821
-1.667 -2.486 -1.453
6.237 -2.876 -2.234
Ge Sb C
2 2 2
Direct
0.566 0.500 0.684
0.074 0.000 0.066
0.121 0.500 0.421
0.552 0.500 0.052
0.934 0.000 0.535
0.737 0.000 0.623
```

#b
Entry from the Alexandria database: an optimized crystal structure of GeSbC (PBE).

Results
spin magnetization: 0.00 μB per cell
volume: 283 Å³ per cell

Structure (POSCAR):
```
GeSbC
1.0
5.236 0.000 -0.099
0.000 3.463 0.000
-3.857 0.000 15.682
Sb C Ge
4 4 4
Direct
0.409 0.500 0.918
0.409 0.000 0.418
0.364 0.500 0.637
0.364 0.000 0.137
0.870 0.000 0.728
0.616 0.500 0.181
0.616 0.000 0.681
0.870 0.500 0.228
0.079 0.000 0.260
0.058 0.500 0.464
0.079 0.500 0.760
0.058 0.000 0.964
```

Stability ranking, top entry: #b; the second entry is 9 meV/atom less favorable.

#a
Entry from the Alexandria database: an optimized crystal structure of GeSbC (PBE).

Results
spin magnetization: 0.00 μB per cell
volume: 134 Å³ per cell

Structure (POSCAR):
```
GeSbC
1.0
-0.219 -1.981 3.818
4.022 0.672 0.579
-1.530 7.050 2.438
Ge C Sb
2 2 2
Direct
0.394 0.500 0.458
0.871 0.000 0.890
0.637 0.841 0.355
0.637 0.159 0.355
0.897 0.500 0.199
0.350 0.500 0.807
```

#b
Entry from the Alexandria database: an optimized crystal structure of GeSbC (PBE).

Results
spin magnetization: 0.00 μB per cell
volume: 130 Å³ per cell

Structure (POSCAR):
```
GeSbC
1.0
4.631 0.000 -0.029
0.000 4.143 0.000
-1.068 0.000 6.789
Ge C Sb
2 2 2
Direct
0.714 0.000 0.837
0.719 0.000 0.467
0.942 0.659 0.352
0.942 0.341 0.352
0.334 0.500 0.863
0.200 0.000 0.194
```

Stability ranking, top entry: #b; the second entry is 23 meV/atom less favorable.

#a
Entry from the Alexandria database: an optimized crystal structure of GeSbC (PBE).

Results
spin magnetization: 0.00 μB per cell
volume: 129 Å³ per cell

Structure (POSCAR):
```
GeSbC
1.0
3.331 -0.008 -0.001
0.019 5.374 0.002
1.629 1.057 7.217
C Sb Ge
2 2 2
Direct
0.023 0.284 0.372
0.973 0.474 0.475
0.426 0.674 0.570
0.737 0.100 0.937
0.557 0.112 0.303
0.235 0.579 0.961
```

#b
Entry from the Alexandria database: an optimized crystal structure of GeSbC (PBE).

Results
spin magnetization: 0.00 μB per cell
volume: 274 Å³ per cell

Structure (POSCAR):
```
GeSbC
1.0
-3.022 0.917 -1.059
1.034 -1.125 -3.925
-6.083 -18.245 3.626
C Sb Ge
4 4 4
Direct
0.449 0.500 0.336
0.436 0.000 0.767
0.449 0.000 0.836
0.436 0.500 0.267
0.923 0.500 0.197
0.980 0.500 0.979
0.923 0.000 0.697
0.980 0.000 0.479
0.901 0.000 0.107
0.901 0.500 0.607
0.960 0.000 0.892
0.960 0.500 0.392
```

Stability ranking, top entry: #b; the second entry is 16 meV/atom less favorable.

#a
Entry from the Alexandria database: an optimized crystal structure of Ge3SbC (PBE).

Results
spin magnetization: 0.00 μB per cell
volume: 92 Å³ per cell

Structure (POSCAR):
```
Ge3SbC
1.0
4.520 0.000 0.000
0.000 4.520 0.000
0.000 0.000 4.520
Ge Sb C
3 1 1
Direct
0.000 0.000 0.500
0.500 0.000 0.000
0.000 0.500 0.000
0.500 0.500 0.500
0.000 0.000 0.000
```

#b
Entry from the Alexandria database: an optimized crystal structure of Ge3SbC (PBE).

Results
spin magnetization: 1.10 μB per cell
volume: 156 Å³ per cell

Structure (POSCAR):
```
Ge3SbC
1.0
5.386 0.000 0.000
0.000 5.386 0.000
0.000 0.000 5.386
Ge Sb C
3 1 1
Direct
0.000 0.500 0.000
0.000 0.000 0.500
0.500 0.000 0.000
0.000 0.000 0.000
0.500 0.500 0.500
```

Stability ranking, top entry: #a; the second entry is 1347 meV/atom less favorable.

#a
Entry from the Alexandria database: an optimized crystal structure of GeSb3C (PBE).

Results
spin magnetization: 0.00 μB per cell
volume: 111 Å³ per cell

Structure (POSCAR):
```
GeSb3C
1.0
4.800 0.000 0.000
0.000 4.800 0.000
0.000 0.000 4.800
Sb C Ge
3 1 1
Direct
0.000 0.000 0.500
0.000 0.500 0.000
0.500 0.000 0.000
0.000 0.000 0.000
0.500 0.500 0.500
```

#b
Entry from the Alexandria database: an optimized crystal structure of GeSb3C (PBE).

Results
spin magnetization: 1.33 μB per cell
volume: 152 Å³ per cell

Structure (POSCAR):
```
GeSb3C
1.0
-1.772 2.906 4.109
3.254 -2.662 3.286
3.839 3.597 -0.888
C Sb Ge
1 3 1
Direct
0.500 0.500 0.500
0.500 0.000 0.000
0.000 0.000 0.500
0.000 0.500 0.000
0.000 0.000 0.000
```

Stability ranking, top entry: #a; the second entry is 1011 meV/atom less favorable.

#a
Entry from the Alexandria database: an optimized crystal structure of GeSb2C (PBE).

Results
spin magnetization: 0.00 μB per cell
volume: 78 Å³ per cell

Structure (POSCAR):
```
GeSb2C
1.0
-3.693 -2.262 -2.044
-3.407 2.515 -2.236
-0.359 -0.170 -4.772
C Sb Ge
1 2 1
Direct
0.000 0.000 0.000
0.750 0.750 0.750
0.250 0.250 0.250
0.500 0.500 0.500
```

#b
Entry from the Alexandria database: an optimized crystal structure of GeSb2C (PBE).

Results
spin magnetization: 0.00 μB per cell
volume: 177 Å³ per cell

Structure (POSCAR):
```
GeSb2C
1.0
-2.023 -4.228 4.520
-2.171 -3.968 -4.683
1.615 -5.995 -0.195
Sb Ge C
4 2 2
Direct
0.875 0.801 0.750
0.375 0.449 0.750
0.551 0.125 0.250
0.199 0.625 0.250
0.750 0.250 0.500
0.000 0.000 0.000
0.500 0.500 0.000
0.250 0.750 0.500
```

Stability ranking, top entry: #b; the second entry is 559 meV/atom less favorable.